Entry 1:
! CaTi2PtO8 PBE optimized geometry; values from VASP
! Uncorrected formation energy in kJ/mol of formula units: -2368
&SYSTEM
  ibrav = 0, nat = 12, ntyp = 4
/
ATOMIC_SPECIES
O 16.00 O.upf
Pt 195.08 Pt.upf
Ti 47.87 Ti.upf
Ca 40.08 Ca.upf
CELL_PARAMETERS angstrom
-2.2406 4.0619 1.1294
-1.7292 -1.8607 3.9700
5.1455 1.9583 3.1563
ATOMIC_POSITIONS crystal
O 0.2981 0.2816 0.9999
O 0.2070 0.7760 0.7841
O 0.7930 0.2240 0.2159
O 0.7019 0.7184 0.0001
Pt 0.0000 0.0000 0.0000
O 0.6662 0.6834 0.5001
O 0.7927 0.2236 0.7841
O 0.3338 0.3166 0.4999
O 0.2073 0.7764 0.2159
Ti 0.5001 0.5001 0.2651
Ti 0.4999 0.4999 0.7349
Ca 0.0000 0.0000 0.5000

=====

Entry 2:
! PrSm6Ho2Th PBE optimized geometry; values from VASP
! Formation enthalpy at 0 K in meV per atom: 146
&SYSTEM
  ibrav = 0, nat = 20, ntyp = 4
/
ATOMIC_SPECIES
Sm 150.36 Sm.upf
Ho 164.93 Ho.upf
Th 232.04 Th.upf
Pr 140.91 Pr.upf
CELL_PARAMETERS angstrom
-3.1923 9.1501 0.0849
-5.8608 -2.6227 -6.0782
-2.2290 -1.4903 8.4251
ATOMIC_POSITIONS crystal
Sm 0.3167 0.9813 0.4234
Sm 0.8167 0.4234 0.9813
Sm 0.8818 0.2971 0.5148
Sm 0.9409 0.8914 0.2394
Ho 0.5516 0.1973 0.2899
Th 0.2500 0.9680 0.0320
Ho 0.9484 0.7101 0.8027
Sm 0.6833 0.0187 0.5766
Sm 0.1833 0.5766 0.0187
Sm 0.5591 0.7606 0.1086
Sm 0.1182 0.7029 0.4852
Ho 0.4484 0.8027 0.7101
Pr 0.7500 0.5955 0.4045
Sm 0.4409 0.2394 0.8914
Sm 0.3818 0.5148 0.2971
Th 0.7500 0.0320 0.9680
Sm 0.0591 0.1086 0.7606
Ho 0.0516 0.2899 0.1973
Pr 0.2500 0.4045 0.5955
Sm 0.6182 0.4852 0.7029

=====

Entry 3:
! Pr2Er3Cd3 PBE optimized geometry; values from VASP
! Formation enthalpy at 0 K in meV per atom: -214
&SYSTEM
  ibrav = 0, nat = 8, ntyp = 3
/
ATOMIC_SPECIES
Cd 112.41 Cd.upf
Pr 140.91 Pr.upf
Er 167.26 Er.upf
CELL_PARAMETERS angstrom
-0.1946 1.4370 -3.5030
-5.0026 -1.7204 -0.4279
-1.1188 9.9036 6.1764
ATOMIC_POSITIONS crystal
Cd 0.8887 0.8887 0.7774
Pr 0.7306 0.2306 0.4612
Cd 0.1113 0.1113 0.2226
Er 0.3813 0.3813 0.7625
Pr 0.2694 0.7694 0.5388
Cd 0.0000 0.5000 0.0000
Er 0.5000 0.0000 0.0000
Er 0.6187 0.6187 0.2375

=====

Entry 4:
! ScTaSe2 PBE optimized geometry; values from VASP
! Uncorrected formation energy in kJ/mol of formula units: -280
! Polymorph energy (0 for the lowest one) in meV/atom: 175
&SYSTEM
  ibrav = 0, nat = 4, ntyp = 3
/
ATOMIC_SPECIES
Ta 180.95 Ta.upf
Se 78.96 Se.upf
Sc 44.96 Sc.upf
CELL_PARAMETERS angstrom
-2.4684 -0.2450 2.1324
1.7419 -2.1276 1.7719
2.5474 5.0219 3.5258
ATOMIC_POSITIONS crystal
Ta 0.5000 0.5000 0.2500
Se 0.0000 0.0000 0.4891
Se 0.0000 0.0000 0.0109
Sc 0.5000 0.5000 0.7500

=====

Entry 5:
! CaNb2F11 PBE optimized geometry; values from VASP
! Uncorrected formation energy in kJ/mol of formula units: -4299
&SYSTEM
  ibrav = 0, nat = 28, ntyp = 3
/
ATOMIC_SPECIES
F 19.00 F.upf
Ca 40.08 Ca.upf
Nb 92.91 Nb.upf
CELL_PARAMETERS angstrom
6.8914 0.0000 3.5920
3.1603 7.3069 2.3435
0.0565 -0.0754 8.2983
ATOMIC_POSITIONS crystal
F 0.8675 0.7844 0.2156
F 0.3869 0.7962 0.9488
F 0.3675 0.7156 0.2844
F 0.7681 0.4478 0.8199
F 0.2319 0.5522 0.1801
Ca 0.7500 0.7500 0.7500
Nb 0.3650 0.3189 0.6811
Ca 0.2500 0.2500 0.2500
F 0.6131 0.2038 0.0512
Nb 0.1350 0.8189 0.1811
F 0.0000 0.0000 0.0000
F 0.5000 0.5000 0.5000
F 0.8680 0.9488 0.7962
F 0.3680 0.2962 0.4488
F 0.5358 0.0522 0.6801
F 0.7319 0.6801 0.0522
F 0.9642 0.8199 0.4478
F 0.2681 0.3199 0.9478
Nb 0.6350 0.6811 0.3189
F 0.4642 0.9478 0.3199
F 0.0358 0.1801 0.5522
F 0.1131 0.5512 0.7038
F 0.8869 0.4488 0.2962
F 0.1325 0.2156 0.7844
F 0.6320 0.7038 0.5512
Nb 0.8650 0.1811 0.8189
F 0.6325 0.2844 0.7156
F 0.1320 0.0512 0.2038

=====

Entry 6:
! Be2CdS PBE optimized geometry; values from VASP
! Uncorrected formation energy in kJ/mol of formula units: 323
! Polymorph energy (0 for the lowest one) in meV/atom: 818
&SYSTEM
  ibrav = 0, nat = 4, ntyp = 3
/
ATOMIC_SPECIES
Cd 112.41 Cd.upf
Be 9.01 Be.upf
S 32.06 S.upf
CELL_PARAMETERS angstrom
0.0000 3.1078 3.1078
3.1078 0.0000 3.1078
3.1078 3.1078 0.0000
ATOMIC_POSITIONS crystal
Cd 0.5000 0.5000 0.5000
Be 0.7500 0.7500 0.7500
S 0.0000 0.0000 0.0000
Be 0.2500 0.2500 0.2500

=====

These records have spin magnetization values of 0.00, 0.00, 0.00, 0.00, 2.03, 0.00 Bohr magnetons per cell, in the order they appear.